4
Lattice="0.000 3.158 3.158 3.158 0.000 3.158 3.158 3.158 0.000" Properties=species:S:1:pos:R:3 comment="CaSiRh2 PBEsol optimized geometry" final_energy_ev_per_atom=-6.083 space_group="F-43m, No. 216" magnetic_moment_mub_per_cell=0.00 pbc="T T T"
Ca 0.000 0.000 0.000
Si 1.579 1.579 1.579
Rh 3.158 3.158 3.158
Rh 4.738 4.738 4.738